Record 1
{"formula": "Li2CaHBrF", "functional": "PBE", "state": "optimized geometry", "de_polymorph_mev_per_atom": 14, "cell": [[3.7468, 0.0000, 0.0000], [1.8724, 3.2485, 0.0000], [0.0131, 0.0118, 9.7694]], "species": ["Li", "Li", "Ca", "H", "Br", "F"], "frac_coords": [[0.0000, 0.0000, 0.0000], [0.3338, 0.3387, 0.2856], [0.3337, 0.3335, 0.6869], [0.6670, 0.6673, 0.6511], [0.0004, 0.0043, 0.4137], [0.9998, 0.0001, 0.8149]]}

=====

Record 2
{"formula": "Li2CaHBrF", "functional": "PBE", "state": "optimized geometry", "de_polymorph_mev_per_atom": 2, "cell": [[8.5304, -1.9438, 0.0000], [8.5304, 1.9438, 0.0000], [-0.0191, 0.0000, 3.7018]], "species": ["Li", "Li", "Ca", "H", "Br", "F"], "frac_coords": [[0.0000, 0.0000, 0.0000], [0.6620, 0.6620, 0.4942], [0.3874, 0.3874, 0.4976], [0.4533, 0.4533, 0.9991], [0.7835, 0.7835, 0.9946], [0.9531, 0.9531, 0.4991]]}

=====

Record 3
{"formula": "Li2CaHBrF", "functional": "PBE", "state": "optimized geometry", "de_polymorph_mev_per_atom": 47, "cell": [[6.3963, -1.8796, 0.0000], [6.3963, 1.8796, 0.0000], [-1.1290, 0.0000, 4.2804]], "species": ["Li", "Li", "Ca", "H", "Br", "F"], "frac_coords": [[0.0000, 0.0000, 0.0000], [0.5979, 0.5979, 0.4341], [0.2694, 0.2694, 0.9719], [0.6592, 0.6592, 0.8785], [0.8418, 0.8418, 0.5167], [0.4645, 0.4645, 0.1063]]}

=====

Record 4
{"formula": "Li2CaHBrF", "functional": "PBE", "state": "optimized geometry", "de_polymorph_mev_per_atom": 19, "cell": [[3.7629, 0.0000, 0.0000], [0.0000, 2.0042, 7.1926], [0.0000, -2.0042, 7.1926]], "species": ["Li", "Li", "Ca", "H", "Br", "F"], "frac_coords": [[0.0000, 0.0000, 0.0000], [0.0000, 0.3513, 0.3513], [0.5000, 0.7286, 0.7286], [0.0000, 0.8588, 0.8588], [0.5000, 0.5180, 0.5180], [0.5000, 0.2958, 0.2958]]}

=====

Record 5
{"formula": "Li2CaHBrF", "functional": "PBE", "state": "optimized geometry", "de_polymorph_mev_per_atom": 0, "cell": [[5.5655, 0.0000, 0.0000], [0.0000, 3.7073, 0.0000], [-1.9678, 0.0000, 5.3187]], "species": ["Li", "Li", "Ca", "H", "Br", "F"], "frac_coords": [[0.0000, 0.0000, 0.0000], [0.4827, 0.0000, 0.9447], [0.5688, 0.5000, 0.4740], [0.6713, 0.0000, 0.7301], [0.1481, 0.5000, 0.7009], [0.3587, 0.0000, 0.2274]]}

=====

Record 6
{"formula": "Li2CaHBrF", "functional": "PBE", "state": "optimized geometry", "de_polymorph_mev_per_atom": 36, "cell": [[3.3386, -1.8538, 0.0000], [3.3386, 1.8538, 0.0000], [-1.8378, 0.0000, 9.5624]], "species": ["Li", "Li", "Ca", "H", "Br", "F"], "frac_coords": [[0.0000, 0.0000, 0.0000], [0.7443, 0.7443, 0.3033], [0.5384, 0.5384, 0.7170], [0.8812, 0.8812, 0.7628], [0.1459, 0.1459, 0.4993], [0.5822, 0.5822, 0.9462]]}

=====

Record 7
{"formula": "Li2CaHBrF", "functional": "PBE", "state": "optimized geometry", "de_polymorph_mev_per_atom": 32, "cell": [[3.4903, -1.9326, 0.0000], [3.4903, 1.9326, 0.0000], [-2.2821, 0.0000, 7.8967]], "species": ["Li", "Li", "Ca", "H", "Br", "F"], "frac_coords": [[0.0000, 0.0000, 0.0000], [0.7222, 0.7222, 0.2666], [0.1744, 0.1744, 0.5356], [0.8326, 0.8326, 0.5004], [0.6221, 0.6221, 0.8470], [0.1149, 0.1149, 0.2303]]}

=====

Record 8
{"formula": "Li2CaHBrF", "functional": "PBE", "state": "optimized geometry", "de_polymorph_mev_per_atom": 30, "cell": [[3.8827, 0.0000, 0.0000], [1.9382, 3.3794, 0.0000], [1.8872, 1.0995, 8.9808]], "species": ["Li", "Li", "Ca", "H", "Br", "F"], "frac_coords": [[0.0000, 0.0000, 0.0000], [0.4098, 0.3922, 0.7840], [0.1574, 0.1605, 0.5139], [0.4698, 0.4736, 0.5778], [0.8907, 0.8932, 0.3091], [0.0691, 0.0843, 0.7730]]}

=====

Record 9
{"formula": "CaHfBr2F", "functional": "PBE", "state": "optimized geometry", "formation_energy_uncorrected_ev_per_fu": -4.34, "cell": [[5.0737, 0.0000, 0.0000], [0.0000, 5.0737, 0.0000], [0.0000, 0.0000, 6.6931]], "species": ["Ca", "Hf", "Br", "Br", "F"], "frac_coords": [[0.0000, 0.0000, 0.0000], [0.0000, 0.0000, 0.5000], [0.0000, 0.5000, 0.5000], [0.5000, 0.0000, 0.5000], [0.5000, 0.5000, 0.0000]]}

=====

Record 10
{"formula": "K2CaBr2F2", "functional": "PBE", "state": "optimized geometry", "formation_energy_uncorrected_ev_per_fu": -18.24, "cell": [[-2.2833, 2.2833, 8.6667], [2.2833, -2.2833, 8.6667], [2.2833, 2.2833, -8.6667]], "species": ["K", "K", "Ca", "Br", "Br", "F", "F"], "frac_coords": [[0.1315, 0.1315, 0.0000], [0.8685, 0.8685, 0.0000], [0.5000, 0.5000, 0.0000], [0.3314, 0.3314, 0.0000], [0.6686, 0.6686, 0.0000], [0.0000, 0.5000, 0.5000], [0.5000, 0.0000, 0.5000]]}

=====

Record 11
{"formula": "KCaBr2F", "functional": "PBE", "state": "optimized geometry", "formation_energy_uncorrected_ev_per_fu": -12.16, "cell": [[5.8457, 0.0000, 0.0000], [0.0000, 5.8457, 0.0000], [0.0000, 0.0000, 4.3611]], "species": ["K", "Ca", "Br", "Br", "F"], "frac_coords": [[0.0000, 0.0000, 0.0000], [0.5000, 0.5000, 0.5000], [0.0000, 0.5000, 0.5000], [0.5000, 0.0000, 0.5000], [0.5000, 0.5000, 0.0000]]}